1.
DFT (PBE-GGA) results for K4ScNi after structural relaxation.

Summary:
**Magnetic moment**: 1.79 μB/f.u.
**Space-group type**: F-43m, No. 216

Unit cell a=7.193 b=7.193 c=7.193 alpha=60.00 beta=60.00 gamma=60.00
Last column: magnetic moment on the atom in μB.
Fractional coordinates of all 6 atoms:
1 K 0.872 0.376 0.376  0.01
2 K 0.376 0.376 0.872  0.01
3 K 0.376 0.872 0.376  0.01
4 K 0.376 0.376 0.376  0.01
5 Sc 0.000 0.000 0.000  0.71
6 Ni 0.750 0.750 0.750  0.62


2.
DFT (PBE-GGA) results for PmThTcIr after structural relaxation.

Summary:
**Magnetic moment**: 0.00 μB/f.u.
**Space-group type**: F-43m, No. 216

Unit cell a=5.009 b=5.009 c=5.009 alpha=60.00 beta=60.00 gamma=60.00
Fractional coordinates of all 4 atoms:
1 Ir 0.750 0.750 0.750
2 Tc 0.250 0.250 0.250
3 Th 0.500 0.500 0.500
4 Pm 0.000 0.000 0.000


3.
DFT (PBE-GGA) results for NbCBr2Cl after structural relaxation.

Summary:
**Magnetic moment**: 2.40 μB/f.u.
**Space-group type**: P4/mmm, No. 123
**ΔE_f (raw)**: 798 kJ/mol of formula units

Unit cell a=5.881 b=3.365 c=5.881 alpha=90.00 beta=90.00 gamma=90.00
Last column: magnetic moment on the atom in μB.
Fractional coordinates of all 5 atoms:
1 Nb 0.500 0.500 0.500  2.04
2 C 0.000 0.500 0.000  0.01
3 Br 0.000 0.000 0.500  -0.06
4 Br 0.500 0.000 0.000  -0.07
5 Cl 0.000 0.000 0.000  0.00


4.
DFT (PBE-GGA) results for Ca2YZnTc after structural relaxation.

Summary:
**Magnetic moment**: 3.13 μB/f.u.
**Space-group type**: P4/mmm, No. 123

Unit cell a=5.959 b=5.151 c=5.959 alpha=90.00 beta=90.00 gamma=90.00
Last column: magnetic moment on the atom in μB.
Fractional coordinates of all 5 atoms:
1 Y 0.000 0.000 0.000  -0.26
2 Zn 0.000 0.500 0.000  -0.04
3 Ca 0.000 0.000 0.500  -0.05
4 Ca 0.500 0.000 0.000  -0.06
5 Tc 0.500 0.500 0.500  3.43


5.
DFT (PBE-GGA) results for Cs12SbO4 after structural relaxation.

Summary:
**Magnetic moment**: 0.01 μB/f.u.
**Space-group type**: Im-3, No. 204
**ΔE_f (raw)**: -1164 kJ/mol of formula units

Unit cell a=10.108 b=10.108 c=10.108 alpha=109.47 beta=109.47 gamma=109.47
Fractional coordinates of all 17 atoms:
1 Cs 0.806 0.280 0.087
2 Cs 0.280 0.474 0.194
3 Cs 0.913 0.194 0.720
4 Cs 0.280 0.087 0.806
5 Cs 0.087 0.806 0.280
6 Cs 0.720 0.526 0.806
7 Cs 0.474 0.194 0.280
8 Cs 0.526 0.806 0.720
9 Cs 0.720 0.913 0.194
10 Cs 0.806 0.720 0.526
11 Cs 0.194 0.280 0.474
12 Cs 0.194 0.720 0.913
13 Sb 0.000 0.000 0.000
14 O 0.000 0.500 0.000
15 O 0.500 0.000 0.000
16 O 0.500 0.500 0.500
17 O 0.000 0.000 0.500


6.
DFT (PBE-GGA) results for BeFeCu after structural relaxation.

Summary:
**Magnetic moment**: 2.26 μB/f.u.
**Space-group type**: I4mm, No. 107

Unit cell a=5.203 b=5.203 c=2.523 alpha=75.97 beta=75.96 gamma=28.06
Last column: magnetic moment on the atom in μB.
Fractional coordinates of all 3 atoms:
1 Be 0.000 0.000 0.000  -0.06
2 Fe 0.654 0.654 0.346  2.34
3 Cu 0.347 0.347 0.653  0.01


7.
DFT (PBE-GGA) results for AcLa3Cd4 after structural relaxation.

Summary:
**Magnetic moment**: 0.63 μB/f.u.
**Space-group type**: Pmma, No. 51

Unit cell a=5.595 b=8.000 c=11.189 alpha=90.00 beta=90.00 gamma=90.00
Last column: magnetic moment on the atom in μB.
Fractional coordinates of all 16 atoms:
1 Ac 0.000 0.500 0.000  0.03
2 Ac 0.000 0.500 0.500  0.03
3 Cd 0.500 0.757 0.000  0.00
4 Cd 0.500 0.757 0.500  0.00
5 Cd 0.500 0.243 0.000  0.00
6 Cd 0.500 0.243 0.500  0.00
7 Cd 0.004 0.757 0.750  0.00
8 Cd 0.996 0.757 0.250  0.00
9 Cd 0.996 0.243 0.250  0.00
10 Cd 0.004 0.243 0.750  0.00
11 La 0.000 0.000 0.000  0.09
12 La 0.000 0.000 0.500  0.09
13 La 0.503 0.000 0.750  0.09
14 La 0.497 0.000 0.250  0.09
15 La 0.503 0.500 0.750  0.05
16 La 0.497 0.500 0.250  0.05


8.
DFT (PBE-GGA) results for ZnCr2Cl after structural relaxation.

Summary:
**Magnetic moment**: 8.68 μB/f.u.
**Space-group type**: I-4m2, No. 119
**ΔE_f (raw)**: 209 kJ/mol of formula units

Unit cell a=5.947 b=5.947 c=5.947 alpha=143.52 beta=143.52 gamma=52.55
Last column: magnetic moment on the atom in μB.
Fractional coordinates of all 4 atoms:
1 Cr 0.000 0.000 0.000  3.77
2 Cr 0.250 0.750 0.500  3.91
3 Zn 0.500 0.500 0.000  0.01
4 Cl 0.750 0.250 0.500  0.04


9.
DFT (PBE-GGA) results for Cu2OsAu after structural relaxation.

Summary:
**Magnetic moment**: 0.18 μB/f.u.
**Space-group type**: P4/mmm, No. 123

Unit cell a=2.713 b=2.713 c=7.711 alpha=90.00 beta=90.00 gamma=90.00
Last column: magnetic moment on the atom in μB.
Fractional coordinates of all 4 atoms:
1 Au 0.500 0.500 0.750  0.00
2 Cu 0.000 0.000 0.012  0.01
3 Cu 0.000 0.000 0.488  0.01
4 Os 0.500 0.500 0.250  0.15


10.
DFT (PBE-GGA) results for HgIrW2 after structural relaxation.

Summary:
**Magnetic moment**: 0.00 μB/f.u.
**Space-group type**: P4mm, No. 99

Unit cell a=2.826 b=2.826 c=8.457 alpha=90.00 beta=90.00 gamma=90.00
Fractional coordinates of all 4 atoms:
1 Hg 0.000 0.000 0.508
2 Ir 0.500 0.500 0.774
3 W 0.000 0.000 0.981
4 W 0.500 0.500 0.236


11.
DFT (PBE-GGA) results for Pa2AlW after structural relaxation.

Summary:
**Magnetic moment**: 0.00 μB/f.u.
**Space-group type**: P4/mmm, No. 123

Unit cell a=4.365 b=4.359 c=4.359 alpha=90.00 beta=90.00 gamma=90.00
Fractional coordinates of all 4 atoms:
1 Pa 0.000 0.000 0.500
2 Pa 0.000 0.500 0.000
3 Al 0.500 0.000 0.000
4 W 0.500 0.500 0.500


12.
DFT (PBE-GGA) results for BaCaGeO4 after structural relaxation.

Summary:
**Magnetic moment**: 0.00 μB/f.u.
**Space-group type**: P2_1/m, No. 11
**ΔE_f (raw)**: -1669 kJ/mol of formula units

Unit cell a=5.800 b=5.942 c=7.163 alpha=90.00 beta=107.86 gamma=90.00
Fractional coordinates of all 14 atoms:
1 Ba 0.715 0.750 0.932
2 Ba 0.285 0.250 0.068
3 Ca 0.806 0.750 0.464
4 Ca 0.194 0.250 0.536
5 Ge 0.257 0.750 0.328
6 Ge 0.743 0.250 0.672
7 O 0.953 0.480 0.716
8 O 0.047 0.980 0.284
9 O 0.047 0.520 0.284
10 O 0.953 0.020 0.716
11 O 0.441 0.750 0.169
12 O 0.559 0.250 0.831
13 O 0.453 0.750 0.570
14 O 0.547 0.250 0.430


Total DFT energy (no corrections), record by record: -1.7372 -8.1469 -3.2438 -2.7971 -2.7210 -5.4718 -3.1370 -5.0511 -5.3894 -8.4992 -8.8696 -6.5245 eV/atom